Compound: InB3I
Source: Alexandria via LeMat-Bulk
Functional: PBEsol
Structure: relaxed

symmetry: No. 221
formation energy (no corrections): 2.381 eV per atom
density of states at the Fermi level: 0.562 states/eV/atom

a b c (Å): 4.4189 4.4189 4.4189
angles (deg): 90.00 90.00 90.00
Sites, in units of the cell vectors:
B1 0.0000 0.5000 0.0000
B2 0.0000 0.0000 0.5000
B3 0.5000 0.0000 0.0000
In1 0.5000 0.5000 0.5000
I1 0.0000 0.0000 0.0000


Compound: CuRh3
Source: Alexandria via LeMat-Bulk
Functional: PBEsol
Structure: relaxed

E_form: 10 kJ/mol of atoms
symmetry: No. 25
density of states at the Fermi level: 1.754 states/eV/atom

a b c (Å): 2.6570 4.3045 4.5827
angles (deg): 90.00 90.00 90.00
Sites, in units of the cell vectors:
Cu1 0.0000 0.0000 0.0015
Rh1 0.5000 0.0000 0.5033
Rh2 0.5000 0.5000 0.8324
Rh3 0.0000 0.5000 0.3294


Compound: BaWCl
Source: Alexandria via LeMat-Bulk
Functional: PBEsol
Structure: relaxed

symmetry: No. 216
formation energy (no corrections): 1.264 eV per atom
offset from the most stable computed form: 129.0 meV/atom

a b c (Å): 5.4662 5.4662 5.4662
angles (deg): 60.00 60.00 60.00
Sites, in units of the cell vectors:
Ba1 0.2500 0.2500 0.2500
W1 0.5000 0.5000 0.5000
Cl1 0.0000 0.0000 0.0000


Compound: TmLuCo2
Source: Alexandria via LeMat-Bulk
Functional: PBEsol
Structure: relaxed

E_form: -23 kJ/mol of atoms
symmetry: No. 225
density of states at the Fermi level: 0.563 states/eV/atom

a b c (Å): 4.5389 4.5389 4.5389
angles (deg): 60.00 60.00 60.00
Sites, in units of the cell vectors:
Co1 0.7500 0.7500 0.7500
Co2 0.2500 0.2500 0.2500
Lu1 0.5000 0.5000 0.5000
Tm1 0.0000 0.0000 0.0000


no.,volume (Å³ per cell)
1,86.28
2,52.41
3,115.49
4,66.12